[1]
VASP calculation (PBE-GGA) on a relaxed ThSiGe crystal.

**Space group**: No. 74
**E above lowest polymorph**: 0.00 eV/f.u.
**Mass density**: 8.4 g/cm³

Lattice parameters (Å, degrees): 8.409 8.409 8.409 152.14 151.53 40.26
Positions (direct):
Ge: 0.948 0.698 0.250
Ge: 0.052 0.302 0.750
Th: 0.367 0.117 0.250
Si: 0.786 0.536 0.250
Th: 0.633 0.883 0.750
Si: 0.214 0.464 0.750

=====

[2]
VASP calculation (PBE-GGA) on a relaxed CoIrCl2 crystal.

**Space group**: No. 35
**E above lowest polymorph**: 0.79 eV/f.u.
**Mass density**: 6.8 g/cm³

Lattice parameters (Å, degrees): 3.120 3.120 8.716 90.00 90.00 111.35
Last column: magnetic moment on the atom in μB.
Positions (direct):
Cl: 0.000 0.000 0.913  0.02
Co: 0.000 0.000 0.528  1.87
Ir: 0.500 0.500 0.710  0.74
Cl: 0.500 0.500 0.349  0.08

=====

[3]
VASP calculation (PBE-GGA) on a relaxed RbLa3Sb crystal.

**Space group**: No. 221
**E above lowest polymorph**: 0.00 eV/f.u.
**Mass density**: 4.3 g/cm³

Lattice parameters (Å, degrees): 6.240 6.240 6.240 90.00 90.00 90.00
Last column: magnetic moment on the atom in μB.
Positions (direct):
La: 0.000 0.000 0.500  0.30
La: 0.000 0.500 0.000  0.26
La: 0.500 0.000 0.000  0.26
Rb: 0.500 0.500 0.500  0.03
Sb: 0.000 0.000 0.000  -0.01

=====

[4]
VASP calculation (PBE-GGA) on a relaxed Si2PBr crystal.

**Space group**: No. 35
**E above lowest polymorph**: 1.14 eV/f.u.
**Mass density**: 3.1 g/cm³

Lattice parameters (Å, degrees): 3.409 3.409 8.932 90.00 90.00 119.31
Positions (direct):
P: 0.500 0.500 0.850
Br: 0.000 0.000 0.428
Si: 0.500 0.500 0.212
Si: 0.000 0.000 0.011